1.
The following is a GGA-PBE calculation of InTc2PbBr after structural relaxation, from Alexandria.

Values from the calculation:
Raw formation energy (meV/atom): 1665
Space-group type: P4/mmm

a = 5.7303 Å, b = 5.7692 Å, c = 5.7303 Å
α = 90.00°, β = 90.00°, γ = 90.00°
Sites, in units of the cell vectors:
Pb (0.0000, 0.0000, 0.0000)
In (0.5000, 0.5000, 0.5000)
Tc (0.5000, 0.0000, 0.0000)
Br (0.0000, 0.5000, 0.0000)
Tc (0.0000, 0.0000, 0.5000)


2.
The following is a GGA-PBE calculation of InTePbBr after structural relaxation, from Alexandria.

Values from the calculation:
Raw formation energy (meV/atom): -460
Space-group type: R-3m
Excess energy over the best structure of this formula in the dataset (meV per atom): 0

a = 5.5235 Å, b = 5.5235 Å, c = 12.4444 Å
α = 77.18°, β = 77.18°, γ = 60.00°
Sites, in units of the cell vectors:
Br (0.7013, 0.7013, 0.8962)
Br (0.2987, 0.2987, 0.1038)
Pb (0.2058, 0.2058, 0.3827)
Te (0.8816, 0.8816, 0.3551)
Te (0.1184, 0.1184, 0.6449)
In (0.6155, 0.6155, 0.1535)
In (0.3845, 0.3845, 0.8465)
Pb (0.7942, 0.7942, 0.6173)


3.
The following is a GGA-PBE calculation of InTePbBr after structural relaxation, from Alexandria.

Values from the calculation:
Raw formation energy (meV/atom): -383
Space-group type: F-43m
Excess energy over the best structure of this formula in the dataset (meV per atom): 77

a = 5.6022 Å, b = 5.6022 Å, c = 5.6022 Å
α = 60.00°, β = 60.00°, γ = 60.00°
Sites, in units of the cell vectors:
Pb (0.2500, 0.2500, 0.2500)
Br (0.0000, 0.0000, 0.0000)
Te (0.5000, 0.5000, 0.5000)
In (0.7500, 0.7500, 0.7500)


| no. | magnetization (μB/cell) |
| --- | --- |
| 1 | 7.6 |
| 2 | 0.0 |
| 3 | 0.0 |